KRbC3: optimized geometry, GGA-PBE.

Cell lengths 5.7896, 5.7896, 5.7896 Å; angles 90.00, 90.00, 90.00 degrees
Closest atoms and distances in Å follow each position.
Fractional positions:
1 K 0.5000 0.5000 0.5000  12 C 4.09
2 C 0.0000 0.0000 0.5000  2 Rb 2.89
3 C 0.0000 0.5000 0.0000  2 Rb 2.89
4 Rb 0.0000 0.0000 0.0000  6 C 2.89
5 C 0.5000 0.0000 0.0000  2 Rb 2.89

Output
- final energy (eV per atom) = -2.49
- Fermi-level density of states (states/eV/cell) = 9.9
- energy of formation from the pure elements (meV per atom) = 3457
- offset from the most stable computed form (eV/f.u.) = 0.41


KPuSiSe4: optimized geometry, GGA-PBE.

Cell lengths 6.7679, 6.9044, 9.1554 Å; angles 90.00, 107.78, 90.00 degrees
Closest atoms and distances in Å follow each position.
Fractional positions:
1 Se 0.5840 0.2500 0.4250  1 Si 2.28
2 Se 0.4160 0.7500 0.5750  1 Si 2.28
3 K 0.7444 0.7500 0.9382  8 Se 3.39-3.64
4 Se 0.0067 0.5068 0.7174  1 Si 2.29
5 Pu 0.7681 0.7500 0.4464  6 Se 2.96-3.02
6 K 0.2556 0.2500 0.0618  8 Se 3.39-3.64
7 Si 0.2186 0.7500 0.3237  4 Se 2.27-2.29
8 Se 0.9933 0.0068 0.2826  1 Si 2.29
9 Se 0.0067 0.9932 0.7174  1 Si 2.29
10 Se 0.4128 0.7500 0.1609  1 Si 2.27
11 Se 0.5872 0.2500 0.8391  1 Si 2.27
12 Se 0.9933 0.4932 0.2826  1 Si 2.29
13 Si 0.7814 0.2500 0.6763  4 Se 2.27-2.29
14 Pu 0.2319 0.2500 0.5536  6 Se 2.96-3.02

Output
- final energy (eV per atom) = -6.01
- Fermi-level density of states (states/eV/cell) = 25.2


BaGa4Ge2: optimized geometry, GGA-PBE.

Cell lengths 4.8393, 4.8393, 8.5140 Å; angles 73.49, 73.49, 60.00 degrees
Closest atoms and distances in Å follow each position.
Fractional positions:
1 Ba 0.0000 0.0000 0.0000  2 Ga 3.32, 6 Ge 3.51
2 Ge 0.2451 0.2451 0.2648  4 Ga 2.59-2.84
3 Ga 0.4417 0.4417 0.6749  4 Ga 2.81-2.88, 3 Ge 2.84
4 Ga 0.5583 0.5583 0.3251  4 Ga 2.81-2.88, 3 Ge 2.84
5 Ge 0.7549 0.7549 0.7352  4 Ga 2.59-2.84
6 Ga 0.8624 0.8624 0.4130  1 Ge 2.59, 3 Ga 2.88
7 Ga 0.1376 0.1376 0.5870  1 Ge 2.59, 3 Ga 2.88

Output
- final energy (eV per atom) = -3.51
- Fermi-level density of states (states/eV/cell) = 5.6
- energy of formation from the pure elements (meV per atom) = -187


CaMg6Mo: optimized geometry, GGA-PBE.

Cell lengths 6.4195, 6.4195, 5.0679 Å; angles 90.00, 90.00, 120.27 degrees
Closest atoms and distances in Å follow each position.
Fractional positions:
1 Mg 0.8196 0.6633 0.5000  2 Mo 3.09-3.33, 8 Mg 3.09-3.31, 2 Ca 3.20
2 Mg 0.3367 0.1804 0.5000  2 Mo 3.09-3.33, 8 Mg 3.09-3.31, 2 Ca 3.20
3 Mg 0.6685 0.3315 0.0000  10 Mg 3.13-3.23, 2 Ca 3.20
4 Mg 0.1832 0.3545 0.0000  7 Mg 2.96-3.23, 2 Mo 3.05, 1 Ca 3.07
5 Ca 0.1725 0.8275 0.0000  10 Mg 3.07-3.35, 2 Mo 3.13
6 Mg 0.8358 0.1642 0.5000  10 Mg 3.15-3.26, 2 Mo 3.20
7 Mg 0.6455 0.8168 0.0000  7 Mg 2.96-3.23, 2 Mo 3.05, 1 Ca 3.07
8 Mo 0.3382 0.6618 0.5000  10 Mg 3.05-3.33, 2 Ca 3.13

Output
- final energy (eV per atom) = -2.54
- Fermi-level density of states (states/eV/cell) = 5.0
- energy of formation from the pure elements (meV per atom) = 259
- offset from the most stable computed form (eV/f.u.) = 0.81


PmBIr: optimized geometry, GGA-PBE.

Cell lengths 4.0535, 6.4364, 8.9248 Å; angles 85.53, 90.00, 90.00 degrees
Closest atoms and distances in Å follow each position.
Fractional positions:
1 B 0.7500 0.8103 0.4732  3 Ir 2.05-2.20
2 Pm 0.7501 0.0065 0.1870  2 B 2.62-2.76, 1 Ir 2.90
3 Ir 0.2500 0.3572 0.9859  3 B 2.05-2.20
4 B 0.2500 0.1897 0.5268  3 Ir 2.05-2.20
5 B 0.2500 0.6897 0.0268  3 Ir 2.05-2.20
6 Ir 0.7500 0.1428 0.5141  3 B 2.05-2.20
7 Ir 0.7500 0.6428 0.0141  3 B 2.05-2.20
8 Ir 0.2500 0.8572 0.4859  3 B 2.05-2.20
9 Pm 0.2499 0.9935 0.8130  2 B 2.62-2.76, 1 Ir 2.90
10 B 0.7500 0.3103 0.9732  3 Ir 2.05-2.20
11 Pm 0.2501 0.4935 0.3130  2 B 2.62-2.76, 1 Ir 2.90
12 Pm 0.7499 0.5065 0.6870  2 B 2.62-2.76, 1 Ir 2.90

Output
- final energy (eV per atom) = -7.31
- Fermi-level density of states (states/eV/cell) = 5.2
- energy of formation from the pure elements (meV per atom) = -544
- offset from the most stable computed form (eV/f.u.) = 0.09


Ce2NpPtN5: optimized geometry, GGA-PBE.

Cell lengths 3.4994, 6.7871, 10.8177 Å; angles 90.00, 90.00, 104.94 degrees
Closest atoms and distances in Å follow each position.
Fractional positions:
1 N 0.4822 0.9644 0.7650  1 Pt 2.03
2 Ce 0.1429 0.2859 0.3012  8 N 2.43-2.70
3 N 0.9400 0.8799 0.5784  1 Np 2.04
4 N 0.7293 0.4586 0.1538  2 Np 2.31, 1 Ce 2.32
5 Np 0.7927 0.5854 0.5169  2 N 2.04-2.10
6 Pt 0.5219 0.0438 0.9461  3 N 2.03-2.14
7 N 0.0600 0.1201 0.0784  1 Np 2.04
8 N 0.5178 0.0356 0.2650  1 Pt 2.03
9 Ce 0.0964 0.1929 0.6893  4 N 2.32-2.44
10 Np 0.2073 0.4146 0.0169  2 N 2.04-2.10
11 Ce 0.9036 0.8071 0.1893  4 N 2.32-2.44
12 N 0.2707 0.5414 0.6538  2 Np 2.31, 1 Ce 2.32
13 Pt 0.4781 0.9562 0.4461  3 N 2.03-2.14
14 N 0.3656 0.7313 0.9912  1 Np 2.10, 1 Pt 2.11
15 N 0.6344 0.2687 0.4912  1 Np 2.10, 1 Pt 2.11
16 N 0.6764 0.3527 0.8820  1 Pt 2.14, 2 Np 2.31
17 N 0.3236 0.6473 0.3820  1 Pt 2.14, 2 Np 2.31
18 Ce 0.8571 0.7141 0.8012  8 N 2.43-2.70

Output
- final energy (eV per atom) = -8.92
- Fermi-level density of states (states/eV/cell) = 17.3


In3SnSe: optimized geometry, GGA-PBE.

Cell lengths 5.6606, 5.6606, 5.6606 Å; angles 90.00, 90.00, 90.00 degrees
Closest atoms and distances in Å follow each position.
Fractional positions:
1 Se 0.5000 0.5000 0.5000  12 In 4.00
2 In 0.5000 0.0000 0.0000  2 Sn 2.83
3 Sn 0.0000 0.0000 0.0000  6 In 2.83
4 In 0.0000 0.0000 0.5000  2 Sn 2.83
5 In 0.0000 0.5000 0.0000  2 Sn 2.83

Output
- final energy (eV per atom) = -2.80
- Fermi-level density of states (states/eV/cell) = 3.6
- offset from the most stable computed form (eV/f.u.) = 0.09


YHfCuRh: optimized geometry, GGA-PBE.

Cell lengths 4.7499, 4.7499, 4.7499 Å; angles 60.00, 60.00, 60.00 degrees
Closest atoms and distances in Å follow each position.
Fractional positions:
1 Cu 0.0000 0.0000 0.0000  4 Hf 2.91, 4 Y 2.91
2 Hf 0.2500 0.2500 0.2500  4 Cu 2.91, 4 Rh 2.91
3 Y 0.7500 0.7500 0.7500  4 Rh 2.91, 4 Cu 2.91
4 Rh 0.5000 0.5000 0.5000  4 Y 2.91, 4 Hf 2.91

Output
- final energy (eV per atom) = -7.42
- Fermi-level density of states (states/eV/cell) = 2.4
- energy of formation from the pure elements (meV per atom) = -458


SmDy2Ho3Se6: optimized geometry, GGA-PBE.

Cell lengths 7.0653, 7.0653, 7.0912 Å; angles 99.52, 99.52, 120.30 degrees
Closest atoms and distances in Å follow each position.
Fractional positions:
1 Dy 0.6658 0.3342 0.0000  6 Se 2.87-2.90
2 Dy 0.3342 0.6658 0.0000  6 Se 2.87-2.90
3 Se 0.7450 0.7450 0.2527  3 Ho 2.84-2.86, 2 Dy 2.87, 1 Sm 2.93
4 Se 0.9149 0.5752 0.7441  3 Ho 2.87-2.88, 2 Dy 2.89-2.90, 1 Sm 2.95
5 Ho 0.1623 0.8377 0.5000  6 Se 2.86-2.88
6 Ho 0.8377 0.1623 0.5000  6 Se 2.86-2.88
7 Ho 0.5000 0.5000 0.5000  6 Se 2.84-2.88
8 Se 0.5752 0.9149 0.7441  3 Ho 2.87-2.88, 2 Dy 2.89-2.90, 1 Sm 2.95
9 Se 0.2550 0.2550 0.7473  3 Ho 2.84-2.86, 2 Dy 2.87, 1 Sm 2.93
10 Se 0.4248 0.0851 0.2559  3 Ho 2.87-2.88, 2 Dy 2.89-2.90, 1 Sm 2.95
11 Se 0.0851 0.4248 0.2559  3 Ho 2.87-2.88, 2 Dy 2.89-2.90, 1 Sm 2.95
12 Sm 0.0000 0.0000 0.0000  6 Se 2.93-2.95

Output
- final energy (eV per atom) = -5.80
- Fermi-level density of states (states/eV/cell) = 5.4


Ba2ZnHg6Pb: optimized geometry, GGA-PBE.

Cell lengths 5.6797, 10.9155, 7.6575 Å; angles 49.68, 77.40, 103.38 degrees
Closest atoms and distances in Å follow each position.
Fractional positions:
1 Ba 0.7962 0.2731 0.5094  6 Hg 3.44-3.80, 1 Pb 3.65, 1 Zn 3.67
2 Zn 0.5000 0.5000 0.0000  4 Hg 2.72-2.81
3 Hg 0.5822 0.6239 0.2078  1 Zn 2.72
4 Hg 0.7457 0.8843 0.5501  1 Zn 2.81, 3 Hg 2.91-3.13
5 Ba 0.2038 0.7269 0.4906  6 Hg 3.44-3.80, 1 Pb 3.65, 1 Zn 3.67
6 Hg 0.4178 0.3761 0.7922  1 Zn 2.72
7 Hg 0.7840 0.2346 0.0423  4 Hg 3.06-3.13, 1 Pb 3.24
8 Pb 0.0000 0.0000 0.0000  6 Hg 3.23-3.32
9 Hg 0.2543 0.1157 0.4499  1 Zn 2.81, 3 Hg 2.91-3.13
10 Hg 0.2160 0.7654 0.9577  4 Hg 3.06-3.13, 1 Pb 3.24

Output
- final energy (eV per atom) = -1.34
- Fermi-level density of states (states/eV/cell) = 5.2
- energy of formation from the pure elements (meV per atom) = -274


CdN2O: optimized geometry, GGA-PBE.

Cell lengths 4.6299, 4.6299, 5.7556 Å; angles 66.28, 66.28, 90.00 degrees
Closest atoms and distances in Å follow each position.
Fractional positions:
1 Cd 0.0000 0.0000 0.0000  4 N 2.25
2 N 0.5469 0.1250 0.2500  2 O 1.84
3 N 0.8750 0.7969 0.7500  2 O 1.84
4 N 0.3750 0.4531 0.7500  2 O 1.84
5 O 0.5000 0.5000 0.0000  4 N 1.84
6 N 0.2031 0.6250 0.2500  2 O 1.84
7 O 0.2500 0.7500 0.5000  4 N 1.84
8 Cd 0.7500 0.2500 0.5000  4 N 2.25

Output
- final energy (eV per atom) = -3.80
- Fermi-level density of states (states/eV/cell) = 1.7
- offset from the most stable computed form (eV/f.u.) = 2.86


Pr5ThN4: optimized geometry, GGA-PBE.

Cell lengths 3.6702, 7.5564, 8.2571 Å; angles 102.29, 102.84, 90.00 degrees
Closest atoms and distances in Å follow each position.
Fractional positions:
1 N 0.9989 0.7655 0.9977  4 Pr 2.49-2.72, 2 Th 2.55
2 N 0.3375 0.9198 0.6750  5 Pr 2.53-2.70, 1 Th 2.55
3 Pr 0.5000 0.5000 0.0000  4 N 2.72
4 Pr 0.1593 0.3081 0.3187  3 N 2.49-2.53
5 Pr 0.8340 0.1516 0.6681  4 N 2.55-2.70
6 Th 0.5000 0.0000 0.0000  6 N 2.55
7 Pr 0.8407 0.6919 0.6813  3 N 2.49-2.53
8 N 0.6625 0.0802 0.3250  5 Pr 2.53-2.70, 1 Th 2.55
9 N 0.0011 0.2345 0.0023  4 Pr 2.49-2.72, 2 Th 2.55
10 Pr 0.1660 0.8484 0.3319  4 N 2.55-2.70

Output
- final energy (eV per atom) = -7.54
- Fermi-level density of states (states/eV/cell) = 6.5


Ni2AsAu: optimized geometry, GGA-PBE.

Cell lengths 7.6321, 7.6321, 7.6321 Å; angles 22.65, 22.65, 22.65 degrees
Closest atoms and distances in Å follow each position.
Fractional positions:
1 Au 0.7500 0.7500 0.7500  6 Ni 2.70, 6 Au 3.00
2 As 0.2500 0.2500 0.2500  6 Ni 2.39
3 Ni 0.5095 0.5095 0.5095  3 As 2.39
4 Ni 0.9905 0.9905 0.9905  3 As 2.39

Output
- final energy (eV per atom) = -4.87
- Fermi-level density of states (states/eV/cell) = 3.0
- energy of formation from the pure elements (meV per atom) = 4
- offset from the most stable computed form (eV/f.u.) = 0.19


CrRu2Se: optimized geometry, GGA-PBE.

Cell lengths 3.9978, 2.8699, 5.2528 Å; angles 72.57, 90.00, 90.00 degrees
Closest atoms and distances in Å follow each position.
Fractional positions:
1 Cr 0.5000 0.7500 0.7500  2 Se 2.59, 8 Ru 2.75-2.80, 2 Cr 2.87
2 Se 0.5000 0.2500 0.2500  4 Ru 2.46, 2 Cr 2.59
3 Ru 0.0000 0.1260 0.0046  2 Se 2.46, 1 Ru 2.55, 2 Cr 2.75
4 Ru 0.0000 0.3740 0.4954  2 Se 2.46, 1 Ru 2.55, 2 Cr 2.75

Output
- final energy (eV per atom) = -7.64
- Fermi-level density of states (states/eV/cell) = 3.5


BeIr2Se: optimized geometry, GGA-PBE.

Cell lengths 2.8554, 4.7979, 4.2077 Å; angles 90.00, 90.00, 90.00 degrees
Closest atoms and distances in Å follow each position.
Fractional positions:
1 Ir 0.0000 0.0000 0.0000  4 Se 2.54, 4 Ir 2.79
2 Se 0.5000 0.0000 0.5000  4 Ir 2.54, 4 Be 2.79
3 Ir 0.5000 0.5000 0.0000  4 Be 2.54, 4 Ir 2.79
4 Be 0.0000 0.5000 0.5000  4 Ir 2.54, 4 Se 2.79

Output
- final energy (eV per atom) = -5.88
- Fermi-level density of states (states/eV/cell) = 2.5
- offset from the most stable computed form (eV/f.u.) = 1.25


K2BaZr: optimized geometry, GGA-PBE.

Cell lengths 3.6903, 3.6903, 14.6848 Å; angles 90.00, 90.00, 116.40 degrees
Closest atoms and distances in Å follow each position.
Fractional positions:
1 K 0.0000 0.0000 0.0278  6 K 3.69-3.89, 2 Zr 3.80
2 Zr 0.5000 0.5000 0.2500  6 Zr 3.69-3.89, 4 K 3.80
3 K 0.0000 0.0000 0.4722  6 K 3.69-3.89, 2 Zr 3.80
4 Ba 0.5000 0.5000 0.7500  6 Ba 3.69-3.89

Output
- final energy (eV per atom) = -2.39
- Fermi-level density of states (states/eV/cell) = 6.3
- energy of formation from the pure elements (meV per atom) = 772
- offset from the most stable computed form (eV/f.u.) = 0.76


Tb3CeTm12: optimized geometry, GGA-PBE.

Cell lengths 4.9537, 4.9537, 19.8116 Å; angles 90.00, 90.00, 90.00 degrees
Closest atoms and distances in Å follow each position.
Fractional positions:
1 Tb 0.0000 0.0000 0.5000  12 Tm 3.50-3.51
2 Tm 0.0000 0.5000 0.3748  8 Tm 3.49-3.51, 4 Tb 3.51-3.52
3 Ce 0.0000 0.0000 0.0000  12 Tm 3.49-3.50
4 Tm 0.5000 0.5000 0.7492  8 Tm 3.49-3.53, 4 Tb 3.50
5 Tm 0.5000 0.0000 0.1240  8 Tm 3.49-3.53, 2 Ce 3.49, 2 Tb 3.50
6 Tm 0.5000 0.0000 0.3748  8 Tm 3.49-3.51, 4 Tb 3.51-3.52
7 Tm 0.5000 0.5000 0.2508  8 Tm 3.49-3.53, 4 Tb 3.50
8 Tm 0.0000 0.5000 0.6252  8 Tm 3.49-3.51, 4 Tb 3.51-3.52
9 Tm 0.5000 0.0000 0.6252  8 Tm 3.49-3.51, 4 Tb 3.51-3.52
10 Tm 0.5000 0.5000 0.0000  8 Tm 3.49, 4 Ce 3.50
11 Tm 0.0000 0.5000 0.8760  2 Ce 3.49, 8 Tm 3.49-3.53, 2 Tb 3.50
12 Tb 0.0000 0.0000 0.2487  12 Tm 3.50-3.52
13 Tm 0.5000 0.5000 0.5000  4 Tb 3.50, 8 Tm 3.51
14 Tm 0.5000 0.0000 0.8760  2 Ce 3.49, 8 Tm 3.49-3.53, 2 Tb 3.50
15 Tm 0.0000 0.5000 0.1240  8 Tm 3.49-3.53, 2 Ce 3.49, 2 Tb 3.50
16 Tb 0.0000 0.0000 0.7513  12 Tm 3.50-3.52

Output
- final energy (eV per atom) = -4.56
- Fermi-level density of states (states/eV/cell) = 22.6
- energy of formation from the pure elements (meV per atom) = 34


RbCuAsCl2: optimized geometry, GGA-PBE.

Cell lengths 4.9926, 7.2620, 4.9926 Å; angles 90.00, 90.00, 90.00 degrees
Closest atoms and distances in Å follow each position.
Fractional positions:
1 As 0.0000 0.0000 0.0000  4 Cl 2.50
2 Cl 0.5000 0.0000 0.0000  2 As 2.50
3 Rb 0.0000 0.5000 0.0000  4 Cu 3.53, 2 As 3.63
4 Cu 0.5000 0.5000 0.5000  4 Rb 3.53
5 Cl 0.0000 0.0000 0.5000  2 As 2.50

Output
- final energy (eV per atom) = -2.58
- Fermi-level density of states (states/eV/cell) = 4.4


Y4Tl2H: optimized geometry, GGA-PBE.

Cell lengths 6.1950, 6.7789, 9.2673 Å; angles 90.00, 111.86, 90.00 degrees
Closest atoms and distances in Å follow each position.
Fractional positions:
1 Y 0.4713 0.9995 0.7323  1 H 2.25
2 Tl 0.3037 0.2500 0.9580  7 Y 3.10-3.40, 2 H 3.32-3.44
3 H 0.7275 0.2500 0.8009  4 Y 2.25-2.33
4 Tl 0.2157 0.2500 0.4216  8 Y 3.11-3.47
5 Y 0.8922 0.2500 0.0718  1 H 2.33
6 Tl 0.6963 0.7500 0.0420  7 Y 3.10-3.40, 2 H 3.32-3.44
7 Y 0.5287 0.4995 0.2677  1 H 2.25
8 Y 0.1078 0.7500 0.9282  1 H 2.33
9 Y 0.5287 0.0005 0.2677  1 H 2.25
10 H 0.2725 0.7500 0.1991  4 Y 2.25-2.33
11 Y 0.4713 0.5005 0.7323  1 H 2.25
12 Y 0.0893 0.7500 0.3722  1 H 2.28
13 Tl 0.7843 0.7500 0.5784  8 Y 3.11-3.47
14 Y 0.9107 0.2500 0.6278  1 H 2.28

Output
- final energy (eV per atom) = -5.23
- Fermi-level density of states (states/eV/cell) = 9.5
- offset from the most stable computed form (eV/f.u.) = 0.00


SrCu3Tc: optimized geometry, GGA-PBE.

Cell lengths 4.7706, 4.7706, 4.7706 Å; angles 90.00, 90.00, 90.00 degrees
Closest atoms and distances in Å follow each position.
Fractional positions:
1 Sr 0.5000 0.5000 0.5000  12 Cu 3.37
2 Cu 0.0000 0.5000 0.0000  2 Tc 2.39
3 Tc 0.0000 0.0000 0.0000  6 Cu 2.39
4 Cu 0.0000 0.0000 0.5000  2 Tc 2.39
5 Cu 0.5000 0.0000 0.0000  2 Tc 2.39

Output
- final energy (eV per atom) = -4.26
- Fermi-level density of states (states/eV/cell) = 4.6
- energy of formation from the pure elements (meV per atom) = 607
- offset from the most stable computed form (eV/f.u.) = 0.00